Material: PaCoAs2O8
Method: DFT, PBE with a Hubbard U
State: optimized geometry

CIF file:
```
data_PaCoAs2O8
_chemical_formula_sum 'Pa1 Co1 As2 O8'
_cell_length_a 5.4800
_cell_length_b 5.4800
_cell_length_c 6.5894
_cell_angle_alpha 90.00
_cell_angle_beta 90.00
_cell_angle_gamma 120.00
_space_group_name_H-M_alt 'P -3 m 1'
_space_group_IT_number 164
_space_group_name_Hall '-P 3 2"'
loop_
_atom_site_label
_atom_site_fract_x
_atom_site_fract_y
_atom_site_fract_z
_atom_site_occupancy
Pa1 0.0000 0.0000 0.0000 1
Co1 0.0000 0.0000 0.5000 1
As1 0.3333 0.6667 0.7964 1
O1 0.1588 0.3175 0.7226 1
O2 0.3333 0.6667 0.0535 1
```

Results
total magnetization	0.22	μB/atom
density	5.502	g/cm3
VASP energy	-6.925	eV per atom